This record from the Alexandria database describes a relaxed structure of Nd3Ni2P3. The functional is PBE.

Unit cell a=4.035 b=5.785 c=14.002 alpha=90.00 beta=90.00 gamma=110.41
Positions (direct):
P 0.340 0.680 0.250
P 0.357 0.715 0.953
P 0.643 0.285 0.047
P 0.660 0.320 0.750
P 0.357 0.715 0.547
P 0.643 0.285 0.453
Ni 0.776 0.552 0.908
Ni 0.224 0.448 0.092
Ni 0.776 0.552 0.592
Ni 0.224 0.448 0.408
Nd 0.360 0.720 0.750
Nd 0.640 0.280 0.250
Nd 0.925 0.850 0.107
Nd 0.925 0.850 0.393
Nd 0.075 0.150 0.607
Nd 0.075 0.150 0.893

Calculated values
Size of the total moment = 0.057 μB per atom
VASP energy = -6.336 eV per atom
Density = 6972 kg/m³
SG = Cmcm (63)

---

This record from the Alexandria database describes a relaxed structure of TlReRh2. The functional is PBE.

Unit cell a=9.241 b=9.241 c=9.241 alpha=18.02 beta=18.02 gamma=18.02
Positions (direct):
Rh 0.998 0.998 0.998
Rh 0.747 0.747 0.747
Tl 0.498 0.498 0.498
Re 0.257 0.257 0.257

Calculated values
Size of the total moment = 0.058 μB per atom
Distance to the lowest polymorph of the same formula = 373 meV/atom
VASP energy = -6.926 eV per atom
Density = 15024 kg/m³
SG = R3m (160)

---

This record from the Alexandria database describes a relaxed structure of ZrAl2Zn. The functional is PBE.

Unit cell a=7.303 b=7.303 c=5.877 alpha=51.59 beta=51.59 gamma=90.00
Positions (direct):
Al 0.166 0.625 0.250
Al 0.584 0.125 0.250
Al 0.375 0.416 0.750
Al 0.875 0.834 0.750
Zn 0.250 0.750 0.500
Zn 0.500 0.500 0.000
Zr 0.000 0.000 0.000
Zr 0.750 0.250 0.500

Calculated values
Size of the total moment = 0.000 μB per atom
VASP energy = -4.389 eV per atom
Density = 4675 kg/m³
SG = I-42d (122)

---

This record from the Alexandria database describes a relaxed structure of BaSbN2F. The functional is PBE.

Unit cell a=4.736 b=4.736 c=4.704 alpha=90.00 beta=90.00 gamma=90.00
Positions (direct):
Sb 0.500 0.500 0.500
N 0.000 0.500 0.000
N 0.500 0.000 0.000
F 0.000 0.000 0.500
Ba 0.000 0.000 0.000

Calculated values
Size of the total moment = 0.010 μB per atom
Distance to the lowest polymorph of the same formula = 1487 meV/atom
VASP energy = -4.089 eV per atom
Density = 4817 kg/m³
SG = P4/mmm (123)

---

This record from the Alexandria database describes a relaxed structure of Np2Bi2S7. The functional is PBE.

Unit cell a=3.994 b=8.917 c=8.917 alpha=57.01 beta=77.06 gamma=77.06
Positions (direct):
Np 0.000 0.801 0.199
Np 0.500 0.339 0.661
S 0.500 0.016 0.984
S 0.181 0.708 0.930
S 0.405 0.716 0.474
S 0.120 0.179 0.582
S 0.880 0.418 0.821
S 0.819 0.070 0.292
S 0.595 0.526 0.284
Bi 0.235 0.306 0.224
Bi 0.765 0.776 0.694

Calculated values
Size of the total moment = 0.545 μB per atom
VASP energy = -6.467 eV per atom
Density = 7196 kg/m³
SG = Imm2 (44)

---

This record from the Alexandria database describes a relaxed structure of Sc2TcRuCl. The functional is PBE.

Unit cell a=5.169 b=4.545 c=5.169 alpha=90.00 beta=90.00 gamma=90.00
Positions (direct):
Cl 0.500 0.500 0.500
Sc 0.500 0.000 0.000
Sc 0.000 0.000 0.500
Tc 0.000 0.500 0.000
Ru 0.000 0.000 0.000

Calculated values
Size of the total moment = 0.294 μB per atom
VASP energy = -6.537 eV per atom
Density = 4437 kg/m³
SG = P4/mmm (123)

---

This record from the Alexandria database describes a relaxed structure of Er2HgBi. The functional is PBE.

Unit cell a=4.279 b=4.279 c=7.880 alpha=74.25 beta=74.25 gamma=60.00
Positions (direct):
Bi 0.500 0.500 0.500
Hg 0.000 0.000 0.000
Er 0.250 0.250 0.250
Er 0.750 0.750 0.750

Calculated values
Size of the total moment = 0.000 μB per atom
Distance to the lowest polymorph of the same formula = 93 meV/atom
VASP energy = -3.813 eV per atom
Density = 10415 kg/m³
SG = R-3m (166)

---

This record from the Alexandria database describes a relaxed structure of Er14TmTh. The functional is PBE.

Unit cell a=7.059 b=7.059 c=11.363 alpha=90.00 beta=90.00 gamma=119.99
Positions (direct):
Er 0.378 0.126 0.751
Er 0.375 0.625 0.751
Er 0.873 0.127 0.751
Er 0.043 0.459 0.000
Er 0.208 0.292 0.500
Er 0.708 0.792 0.500
Er 0.375 0.625 0.249
Er 0.542 0.458 0.000
Er 0.874 0.622 0.249
Er 0.378 0.126 0.249
Er 0.042 0.958 0.000
Er 0.874 0.622 0.751
Er 0.873 0.127 0.249
Er 0.541 0.957 0.000
Tm 0.208 0.792 0.500
Th 0.708 0.292 0.500

Calculated values
Size of the total moment = 0.000 μB per atom
VASP energy = -4.724 eV per atom
Density = 9287 kg/m³
SG = Amm2 (38)

---

This record from the Alexandria database describes a relaxed structure of Pr2CuSb3Rh4. The functional is PBE.

Unit cell a=4.389 b=4.389 c=10.798 alpha=90.00 beta=90.00 gamma=90.00
Positions (direct):
Rh 0.000 0.500 0.373
Rh 0.000 0.000 0.000
Rh 0.500 0.000 0.627
Rh 0.500 0.500 0.000
Pr 0.000 0.500 0.737
Pr 0.500 0.000 0.263
Sb 0.500 0.000 0.863
Sb 0.000 0.000 0.500
Sb 0.000 0.500 0.137
Cu 0.500 0.500 0.500

Calculated values
Size of the total moment = 0.000 μB per atom
VASP energy = -6.281 eV per atom
Density = 8961 kg/m³
SG = P-4m2 (115)

---

This record from the Alexandria database describes a relaxed structure of KNaSr2Tl. The functional is PBE.

Unit cell a=6.529 b=6.529 c=6.216 alpha=90.00 beta=90.00 gamma=90.00
Positions (direct):
Sr 0.000 0.500 0.000
Sr 0.500 0.000 0.000
Na 0.000 0.000 0.500
K 0.500 0.500 0.500
Tl 0.000 0.000 0.000

Calculated values
Size of the total moment = 0.000 μB per atom
VASP energy = -1.637 eV per atom
Density = 2768 kg/m³
SG = P4/mmm (123)

---

This record from the Alexandria database describes a relaxed structure of Cs2TaCrBr6. The functional is PBE.

Unit cell a=7.740 b=7.740 c=7.758 alpha=60.08 beta=60.08 gamma=90.00
Positions (direct):
Br 0.755 0.245 0.000
Br 0.245 0.245 0.000
Br 0.245 0.755 0.000
Br 0.243 0.243 0.514
Br 0.757 0.757 0.486
Br 0.755 0.755 0.000
Cr 0.500 0.500 0.000
Cs 0.250 0.750 0.500
Cs 0.750 0.250 0.500
Ta 0.000 0.000 0.000

Calculated values
Size of the total moment = 0.700 μB per atom
VASP energy = -4.260 eV per atom
Density = 4931 kg/m³
SG = I4/mmm (139)

---

This record from the Alexandria database describes a relaxed structure of Dy2ScTe3. The functional is PBE.

Unit cell a=4.305 b=6.069 c=7.432 alpha=114.09 beta=106.83 gamma=90.00
Positions (direct):
Dy 0.174 0.174 0.847
Dy 0.826 0.826 0.153
Te 0.157 0.657 0.814
Te 0.843 0.343 0.186
Te 0.500 0.000 0.500
Sc 0.500 0.500 0.500

Calculated values
Size of the total moment = 0.000 μB per atom
VASP energy = -5.372 eV per atom
Density = 7436 kg/m³
SG = Immm (71)